1.
Computed, not measured: crystalline MgSiRu2 at its relaxed geometry at the PBE level of DFT.

```
MgSiRu2
1.0
-2.478 0.264 -1.715
-1.432 -3.694 1.500
-1.963 2.040 3.151
Si Ru Mg
1 2 1
Direct
0.500 0.500 0.000 Si
0.000 0.000 0.000 Ru
0.000 0.500 0.500 Ru
0.500 0.000 0.500 Mg
```

Properties
uncorrected energy = -26.792 eV/cell
space-group type = P4/mmm, No. 123
magnetic moment = 0.000 Bohr magnetons per cell
formation energy (no corrections) = -0.31 eV/atom

=====

2.
Computed, not measured: crystalline GeAsSeN2 at its relaxed geometry at the PBE level of DFT.

```
GeAsSeN2
1.0
-3.367 -1.470 1.031
1.627 -3.425 0.430
1.070 1.154 5.140
Ge N As Se
1 2 1 1
Direct
0.500 0.500 0.500 Ge
0.000 0.500 0.000 N
0.500 0.000 0.000 N
0.000 0.000 0.000 As
0.000 0.000 0.500 Se
```

Properties
uncorrected energy = -23.461 eV/cell
space-group type = P4/mmm, No. 123
magnetic moment = 0.567 Bohr magnetons per cell
formation energy (no corrections) = 1.19 eV/atom

=====

3.
Computed, not measured: crystalline BeCrSi at its relaxed geometry at the PBE level of DFT.

```
BeCrSi
1.0
4.097 0.175 -1.354
-2.546 3.424 -0.661
0.307 -0.306 4.503
Be Si Cr
2 2 2
Direct
0.481 0.792 0.485 Be
0.731 0.543 0.984 Be
0.402 0.873 0.985 Si
0.151 0.122 0.484 Si
0.059 0.215 0.984 Cr
0.809 0.464 0.485 Cr
```

Properties
uncorrected energy = -38.394 eV/cell
space-group type = Cc, No. 9
magnetic moment = 0.000 Bohr magnetons per cell
formation energy (no corrections) = -0.14 eV/atom

=====

4.
Computed, not measured: crystalline ScCuRe2 at its relaxed geometry at the PBE level of DFT.

```
ScCuRe2
1.0
2.689 0.016 0.000
-0.730 2.588 0.000
0.000 0.000 8.795
Re Sc Cu
2 1 1
Direct
0.000 0.000 0.516 Re
0.000 0.000 0.984 Re
0.500 0.500 0.250 Sc
0.500 0.500 0.750 Cu
```

Properties
uncorrected energy = -34.406 eV/cell
space-group type = Cmmm, No. 65
magnetic moment = 0.000 Bohr magnetons per cell
ΔH_f (0 K) = 229 meV/atom

=====

5.
Computed, not measured: crystalline YHgBr2 at its relaxed geometry at the PBE level of DFT.

```
YHgBr2
1.0
2.403 0.000 12.039
-1.201 2.081 12.039
-1.201 -2.081 12.039
Hg Y Br
1 1 2
Direct
0.500 0.500 0.500 Hg
0.000 0.000 0.000 Y
0.072 0.072 0.072 Br
0.928 0.928 0.928 Br
```

Properties
uncorrected energy = -12.638 eV/cell
space-group type = R-3m, No. 166
magnetic moment = 0.000 Bohr magnetons per cell
formation energy (no corrections) = -0.63 eV/atom

=====

6.
Computed, not measured: crystalline KMnGe2Cl8 at its relaxed geometry at the PBE level of DFT.

```
KMnGe2Cl8
1.0
7.761 1.308 -0.668
1.387 5.833 -0.207
-0.870 -0.166 8.522
Mn Cl Ge K
1 8 2 1
Direct
0.000 0.000 0.000 Mn
0.289 0.402 0.567 Cl
0.230 0.749 0.178 Cl
0.996 0.682 0.831 Cl
0.770 0.251 0.822 Cl
0.711 0.598 0.433 Cl
0.004 0.318 0.169 Cl
0.266 0.030 0.842 Cl
0.734 0.970 0.158 Cl
0.665 0.614 0.163 Ge
0.335 0.386 0.837 Ge
0.000 0.000 0.500 K
```

Properties
uncorrected energy = -46.916 eV/cell
space-group type = P-1, No. 2
magnetic moment = 3.968 Bohr magnetons per cell
formation energy (no corrections) = -1.05 eV/atom

=====

7.
Computed, not measured: crystalline BaZn2Mo2 at its relaxed geometry at the PBE level of DFT.

```
BaZn2Mo2
1.0
3.837 0.000 0.000
0.000 3.837 0.000
1.918 1.918 7.342
Zn Ba Mo
2 1 2
Direct
0.380 0.380 0.239 Zn
0.620 0.620 0.761 Zn
0.000 0.000 0.000 Ba
0.250 0.750 0.500 Mo
0.750 0.250 0.500 Mo
```

Properties
uncorrected energy = -24.200 eV/cell
space-group type = I4/mmm, No. 139
magnetic moment = 0.000 Bohr magnetons per cell
ΔH_f (0 K) = 387 meV/atom

=====

8.
Computed, not measured: crystalline PuScTlI6 at its relaxed geometry at the PBE level of DFT.

```
PuScTlI6
1.0
7.807 0.000 0.000
-3.904 6.761 0.000
0.000 0.000 15.433
Sc Pu I Tl
2 2 12 2
Direct
0.667 0.333 0.250 Sc
0.333 0.667 0.750 Sc
0.667 0.333 0.750 Pu
0.333 0.667 0.250 Pu
0.350 0.977 0.637 I
0.627 0.977 0.863 I
0.650 0.023 0.363 I
0.373 0.350 0.363 I
0.977 0.350 0.137 I
0.373 0.023 0.137 I
0.023 0.373 0.637 I
0.650 0.627 0.137 I
0.977 0.627 0.363 I
0.350 0.373 0.863 I
0.023 0.650 0.863 I
0.627 0.650 0.637 I
0.000 0.000 0.000 Tl
0.000 0.000 0.500 Tl
```

Properties
uncorrected energy = -83.419 eV/cell
space-group type = P-31c, No. 163
magnetic moment = 12.026 Bohr magnetons per cell
formation energy (no corrections) = -1.04 eV/atom

=====

9.
Computed, not measured: crystalline MnCr2Ru at its relaxed geometry at the PBE level of DFT.

```
MnCr2Ru
1.0
2.566 0.003 0.000
-0.956 2.382 0.000
0.000 0.000 8.122
Cr Mn Ru
2 1 1
Direct
0.000 0.000 0.012 Cr
0.500 0.500 0.248 Cr
0.000 0.000 0.488 Mn
0.500 0.500 0.752 Ru
```

Properties
uncorrected energy = -36.988 eV/cell
space-group type = Cmm2, No. 35
magnetic moment = 2.126 Bohr magnetons per cell
ΔH_f (0 K) = 176 meV/atom

=====

10.
Computed, not measured: crystalline CoReSb2 at its relaxed geometry at the PBE level of DFT.

```
CoReSb2
1.0
0.000 3.264 3.264
3.264 0.000 3.264
3.264 3.264 0.000
Sb Re Co
2 1 1
Direct
0.250 0.250 0.250 Sb
0.750 0.750 0.750 Sb
0.500 0.500 0.500 Re
0.000 0.000 0.000 Co
```

Properties
uncorrected energy = -25.784 eV/cell
space-group type = Fm-3m, No. 225
magnetic moment = 1.618 Bohr magnetons per cell
formation energy (no corrections) = 0.50 eV/atom

=====

11.
Computed, not measured: crystalline HfCdSn at its relaxed geometry at the PBE level of DFT.

```
HfCdSn
1.0
-3.190 -4.466 2.445
4.839 1.594 1.837
-0.528 5.648 1.756
Sn Cd Hf
2 2 2
Direct
0.674 0.849 0.750 Sn
0.326 0.151 0.250 Sn
0.994 0.489 0.249 Cd
0.006 0.511 0.751 Cd
0.666 0.831 0.251 Hf
0.334 0.169 0.749 Hf
```

Properties
uncorrected energy = -30.094 eV/cell
space-group type = P-1, No. 2
magnetic moment = 0.000 Bohr magnetons per cell
ΔH_f (0 K) = -59 meV/atom

=====

12.
Computed, not measured: crystalline BeTlI2N at its relaxed geometry at the PBE level of DFT.

```
BeTlI2N
1.0
6.189 0.000 0.000
0.000 6.189 0.000
0.000 0.000 4.359
N Tl I Be
1 1 2 1
Direct
0.000 0.000 0.500 N
0.000 0.000 0.000 Tl
0.000 0.500 0.000 I
0.500 0.000 0.000 I
0.500 0.500 0.500 Be
```

Properties
uncorrected energy = -10.921 eV/cell
space-group type = P4/mmm, No. 123
magnetic moment = 2.279 Bohr magnetons per cell
formation energy (no corrections) = 1.32 eV/atom

=====

Which formula does entry 1 have?
MgSiRu2